VASP calculation (PBE) on a relaxed structure of KSrB2Os. Values from VASP.

Cell and atoms, written as Quantum ESPRESSO input:
```
&SYSTEM
  ibrav = 0, nat = 5, ntyp = 4
/
ATOMIC_SPECIES
K 39.10 K.upf
Sr 87.62 Sr.upf
B 10.81 B.upf
Os 190.23 Os.upf
CELL_PARAMETERS angstrom
-0.264 -3.730 -3.723
4.705 1.871 -2.208
2.752 -3.276 3.088
ATOMIC_POSITIONS crystal
K 0.500 0.500 0.500
Sr 0.000 0.000 0.000
B 0.500 0.000 0.000
B 0.000 0.000 0.500
Os 0.000 0.500 0.000
```

Properties
V: 153.8 Å³/f.u.
Symmetry: No. 123
E_form: 2.66 eV/atom